# 1
# Cr2RhBr PBE relaxed
# Energy above the most stable polymorph in this dataset, meV/atom: 15.6
# Mass density, Mg/m³: 6.9
# ΔE_f (raw), eV/atom: 0.347
data_Cr2RhBr
_cell_length_a 3.1556
_cell_length_b 3.1556
_cell_length_c 6.9668
_cell_angle_alpha 90.00
_cell_angle_beta 90.00
_cell_angle_gamma 90.00
_symmetry_space_group_name_H-M 'P 4/m m m'
_symmetry_Int_Tables_number 123
_symmetry_space_group_name_Hall '-P 4 2'
loop_
_atom_site_label
_atom_site_type_symbol
_atom_site_fract_x
_atom_site_fract_y
_atom_site_fract_z
_atom_site_occupancy
Cr1 Cr 0.0000 0.0000 0.2133 1
Rh1 Rh 0.5000 0.5000 0.0000 1
Br1 Br 0.5000 0.5000 0.5000 1

# 2
# KMg3Ni PBE relaxed
# Mass density, Mg/m³: 2.2
data_KMg3Ni
_cell_length_a 5.0569
_cell_length_b 5.0569
_cell_length_c 5.0569
_cell_angle_alpha 90.00
_cell_angle_beta 90.00
_cell_angle_gamma 90.00
_symmetry_space_group_name_H-M 'P m -3 m'
_symmetry_Int_Tables_number 221
_symmetry_space_group_name_Hall '-P 4 2 3'
loop_
_atom_site_label
_atom_site_type_symbol
_atom_site_fract_x
_atom_site_fract_y
_atom_site_fract_z
_atom_site_occupancy
K1 K 0.0000 0.0000 0.0000 1
Mg1 Mg 0.0000 0.5000 0.5000 1
Ni1 Ni 0.5000 0.5000 0.5000 1

| no. | calculated volume (Å³/f.u.) | total DFT energy (no corrections) (eV/atom) | Fermi-level density of states (states/eV/atom) |
| --- | --- | --- | --- |
| 1 | 69.4 | -6.72 | 0.857 |
| 2 | 129.3 | -2.29 | 0.444 |